VASP calculation (PBE) on an optimized crystal structure of Pm2YEr3As6.

abc: 9.2595 9.2595 8.2809
angles: 102.88 102.88 25.86
Fractional positions:
Pm: 0.1661 0.1661 0.3323
Pm: 0.8339 0.8339 0.6677
Y: 0.5000 0.5000 0.0000
Er: 0.1669 0.1669 0.8337
Er: 0.5000 0.5000 0.5000
Er: 0.8331 0.8331 0.1663
As: 0.0024 0.0024 0.7494
As: 0.3329 0.3329 0.9233
As: 0.3355 0.3355 0.4113
As: 0.6645 0.6645 0.5887
As: 0.6671 0.6671 0.0767
As: 0.9976 0.9976 0.2506

Output
Total DFT energy (no corrections) in hartree per atom: -0.23219
Energy of formation in eV per atom: -1.522